This record from the Alexandria database describes Sc6Ga2Os after structural relaxation. The functional is PBE-GGA.

## Properties
formation energy: -0.28 eV/atom
E: -6.418 eV/atom
total magnetization: 0.0 μB per formula unit

Cell: 7.9160 7.9160 7.9160 Å, 146.01 130.95 61.02°
Positions (direct):
Sc 0.0857 0.3410 0.7447
Sc 0.2358 0.0000 0.2358
Sc 0.4037 0.6590 0.7447
Sc 0.5963 0.3410 0.2553
Sc 0.7642 0.0000 0.7642
Sc 0.9143 0.6590 0.2553
Ga 0.3323 0.8323 0.5000
Ga 0.6677 0.1677 0.5000
Os 0.0000 0.5000 0.5000